Record 1
BaIn3Cu: relaxed, GGA-PBE.

The structure in POSCAR format:
```
BaIn3Cu
1.0
-3.761 -3.007 -0.545
3.066 -3.724 -0.472
0.193 2.485 6.265
Ba In Cu
1 3 1
Direct
0.012 0.012 0.025
0.252 0.753 0.505
0.753 0.252 0.505
0.416 0.416 0.833
0.646 0.646 0.290
```

***

Record 2
Ba2InCu: relaxed, GGA-PBE.

The structure in POSCAR format:
```
Ba2InCu
1.0
5.598 0.000 0.000
2.799 4.848 0.000
2.799 1.616 4.571
Ba Cu In
2 1 1
Direct
0.000 0.000 0.000
0.250 0.250 0.250
0.500 0.500 0.500
0.750 0.750 0.750
```

***

Record 3
BaInCu2: relaxed, GGA-PBE.

The structure in POSCAR format:
```
BaInCu2
1.0
3.403 0.000 0.000
0.000 3.402 0.000
0.000 0.000 7.864
In Cu Ba
1 2 1
Direct
0.000 0.000 0.424
0.000 0.000 0.083
0.500 0.500 0.211
0.500 0.500 0.783
```

***

Record 4
Ba2LiInCu: relaxed, GGA-PBE.

The structure in POSCAR format:
```
Ba2LiInCu
1.0
6.221 0.000 0.000
0.000 6.221 0.000
0.000 0.000 4.736
Li Ba In Cu
1 2 1 1
Direct
0.000 0.000 0.500
0.500 0.000 0.000
0.000 0.500 0.000
0.500 0.500 0.500
0.000 0.000 0.000
```

Properties
The energy above the lowest structure with this stoichiometry is 3 meV/atom.

***

Record 5
BaLiIn2Cu: relaxed, GGA-PBE.

The structure in POSCAR format:
```
BaLiIn2Cu
1.0
-4.824 1.661 0.479
-1.582 -4.813 0.767
0.709 0.583 5.120
Cu In Ba Li
1 2 1 1
Direct
0.000 0.000 0.000
0.500 0.000 0.000
0.000 0.500 0.000
0.500 0.500 0.500
0.000 0.000 0.500
```

***

Record 6
BaLiInCu: relaxed, GGA-PBE.

The structure in POSCAR format:
```
BaLiInCu
1.0
5.222 0.000 0.000
2.611 4.522 0.000
2.611 1.507 4.264
Ba Cu Li In
1 1 1 1
Direct
0.250 0.250 0.250
0.500 0.500 0.500
0.000 0.000 0.000
0.750 0.750 0.750
```

***

Record 7
Ba2LiInCu: relaxed, GGA-PBE.

The structure in POSCAR format:
```
Ba2LiInCu
1.0
6.269 0.000 0.000
0.000 6.269 0.000
0.000 0.000 4.993
In Cu Ba Li
1 1 2 1
Direct
0.000 0.000 0.500
0.000 0.000 0.000
0.000 0.500 0.000
0.500 0.000 0.000
0.500 0.500 0.500
```

Properties
The energy above the lowest structure with this stoichiometry is 0 meV/atom.

***

Record 8
Ba2MgInCu: relaxed, GGA-PBE.

The structure in POSCAR format:
```
Ba2MgInCu
1.0
-0.110 -2.144 5.860
4.106 -4.439 -1.547
3.733 3.041 1.182
Mg Ba Cu In
1 2 1 1
Direct
0.500 0.500 0.500
0.000 0.500 0.000
0.500 0.000 0.000
0.000 0.000 0.000
0.000 0.000 0.500
```

Properties
The energy above the lowest structure with this stoichiometry is 0 meV/atom.

***

Record 9
BaMg2In4Cu: relaxed, GGA-PBE.

The structure in POSCAR format:
```
BaMg2In4Cu
1.0
4.937 0.000 0.000
2.469 4.276 0.000
2.469 1.425 10.102
In Ba Mg Cu
4 1 2 1
Direct
0.135 0.135 0.596
0.865 0.865 0.404
0.406 0.406 0.782
0.594 0.594 0.218
0.000 0.000 0.000
0.238 0.238 0.285
0.762 0.762 0.715
0.500 0.500 0.500
```

***

Record 10
BaMgIn2Cu: relaxed, GGA-PBE.

The structure in POSCAR format:
```
BaMgIn2Cu
1.0
5.231 0.000 0.000
0.000 5.231 0.000
0.000 0.000 5.130
Cu In Ba Mg
1 2 1 1
Direct
0.000 0.000 0.000
0.000 0.500 0.000
0.500 0.000 0.000
0.500 0.500 0.500
0.000 0.000 0.500
```

***

Record 11
BaMg2InCu: relaxed, GGA-PBE.

The structure in POSCAR format:
```
BaMg2InCu
1.0
5.154 0.000 0.000
0.000 5.154 0.000
0.000 0.000 5.124
Mg Cu Ba In
2 1 1 1
Direct
0.000 0.500 0.000
0.500 0.000 0.000
0.000 0.000 0.000
0.500 0.500 0.500
0.000 0.000 0.500
```

***

Record 12
Ba2MgInCu: relaxed, GGA-PBE.

The structure in POSCAR format:
```
Ba2MgInCu
1.0
-3.822 -3.701 -3.128
0.089 -4.036 4.668
-3.910 2.297 2.060
Ba Mg Cu In
2 1 1 1
Direct
0.000 0.500 0.000
0.500 0.000 0.000
0.000 0.000 0.500
0.000 0.000 0.000
0.500 0.500 0.500
```

Properties
The energy above the lowest structure with this stoichiometry is 15 meV/atom.

***

What are the ΔE_f values for these records? In order: -304 4 78 -43 -160 -49 -46 -58 -132 -135 -109 -43 meV/atom.